# 1
First-principles (GGA-PBE) data for a geometry-optimized KMg2TlCl8 structure, as listed in the Alexandria database.

Values from the calculation:
Space-group type: P2/m (10)
Total DFT energy (no corrections): -0.1167 Ha/atom

Lattice parameters (Å, degrees): 6.452 6.155 7.975 89.98 89.98 88.44
Sites, in units of the cell vectors:
K  0.000  0.000  0.500
Mg  0.500  0.500  0.751
Mg  0.500  0.500  0.249
Tl  0.000  0.000  0.000
Cl  0.170  0.741  0.223
Cl  0.650  0.728  0.000
Cl  0.830  0.258  0.223
Cl  0.830  0.259  0.777
Cl  0.350  0.272  0.000
Cl  0.170  0.742  0.777
Cl  0.632  0.708  0.500
Cl  0.368  0.292  0.500



# 2
First-principles (GGA-PBE) data for a geometry-optimized K2MgTl3Cl6 structure, as listed in the Alexandria database.

Values from the calculation:
Space-group type: C2/m (12)
Total DFT energy (no corrections): -0.1173 Ha/atom

Lattice parameters (Å, degrees): 7.333 7.333 8.862 103.13 103.13 118.55
Sites, in units of the cell vectors:
K  0.340  0.660  0.000
K  0.660  0.340  0.000
Mg  0.000  0.000  0.000
Tl  0.189  0.811  0.500
Tl  0.811  0.189  0.500
Tl  0.500  0.500  0.500
Cl  0.902  0.619  0.818
Cl  0.842  0.842  0.212
Cl  0.098  0.381  0.182
Cl  0.619  0.902  0.818
Cl  0.158  0.158  0.788
Cl  0.381  0.098  0.182



# 3
First-principles (GGA-PBE) data for a geometry-optimized KMgTlCl6 structure, as listed in the Alexandria database.

Values from the calculation:
Space-group type: P-31c (163)
Total DFT energy (no corrections): -0.1165 Ha/atom

Lattice parameters (Å, degrees): 6.714 6.714 13.918 90.00 90.00 120.00
Sites, in units of the cell vectors:
K  0.000  0.000  0.000
K  0.000  0.000  0.500
Mg  0.333  0.667  0.250
Mg  0.667  0.333  0.750
Tl  0.667  0.333  0.250
Tl  0.333  0.667  0.750
Cl  0.621  0.633  0.144
Cl  0.012  0.379  0.144
Cl  0.379  0.012  0.644
Cl  0.988  0.621  0.856
Cl  0.367  0.379  0.356
Cl  0.012  0.633  0.356
Cl  0.633  0.012  0.856
Cl  0.621  0.988  0.356
Cl  0.988  0.367  0.644
Cl  0.367  0.988  0.144
Cl  0.633  0.621  0.644
Cl  0.379  0.367  0.856



# 4
First-principles (GGA-PBE) data for a geometry-optimized KMgTl2Cl8 structure, as listed in the Alexandria database.

Values from the calculation:
Space-group type: P-3 (147)
Total DFT energy (no corrections): -0.1088 Ha/atom

Lattice parameters (Å, degrees): 6.793 6.793 9.178 90.00 90.00 120.00
Last column: magnetic moment on the atom in μB.
Sites, in units of the cell vectors:
K  0.000  0.000  0.000  0.00
Mg  0.000  0.000  0.500  0.00
Tl  0.667  0.333  0.279  0.12
Tl  0.333  0.667  0.721  0.12
Cl  0.333  0.667  0.995  0.05
Cl  0.278  0.314  0.336  0.05
Cl  0.686  0.964  0.336  0.05
Cl  0.667  0.333  0.005  0.05
Cl  0.314  0.036  0.664  0.05
Cl  0.722  0.686  0.664  0.05
Cl  0.964  0.278  0.664  0.05
Cl  0.036  0.722  0.336  0.05



# 5
First-principles (GGA-PBE) data for a geometry-optimized K2Mg2TlCl7 structure, as listed in the Alexandria database.

Values from the calculation:
Space-group type: C2/m (12)
Total DFT energy (no corrections): -0.1275 Ha/atom

Lattice parameters (Å, degrees): 5.024 5.024 13.330 79.13 79.13 90.00
Sites, in units of the cell vectors:
K  0.817  0.817  0.365
K  0.183  0.183  0.635
Mg  0.600  0.600  0.801
Mg  0.400  0.400  0.199
Tl  0.000  0.000  0.000
Cl  0.500  0.500  0.000
Cl  0.304  0.304  0.391
Cl  0.696  0.696  0.609
Cl  0.903  0.403  0.194
Cl  0.403  0.903  0.194
Cl  0.597  0.097  0.806
Cl  0.097  0.597  0.806



# 6
First-principles (GGA-PBE) data for a geometry-optimized KMg2TlCl6 structure, as listed in the Alexandria database.

Values from the calculation:
Space-group type: C2/c (15)
Total DFT energy (no corrections): -0.1271 Ha/atom

Lattice parameters (Å, degrees): 7.176 9.728 9.728 87.64 82.90 82.90
Sites, in units of the cell vectors:
K  0.250  0.296  0.704
K  0.750  0.704  0.296
Mg  0.226  0.794  0.619
Mg  0.274  0.381  0.206
Mg  0.774  0.206  0.381
Mg  0.726  0.619  0.794
Tl  0.250  0.903  0.097
Tl  0.750  0.097  0.903
Cl  0.171  0.974  0.775
Cl  0.329  0.225  0.026
Cl  0.829  0.026  0.225
Cl  0.671  0.775  0.974
Cl  0.357  0.860  0.401
Cl  0.143  0.599  0.140
Cl  0.643  0.140  0.599
Cl  0.857  0.401  0.860
Cl  0.935  0.698  0.600
Cl  0.565  0.400  0.302
Cl  0.065  0.302  0.400
Cl  0.435  0.600  0.698



# 7
First-principles (GGA-PBE) data for a geometry-optimized KTmMgCl6 structure, as listed in the Alexandria database.

Values from the calculation:
Space-group type: P-31c (163)
Total DFT energy (no corrections): -0.1518 Ha/atom

Lattice parameters (Å, degrees): 6.719 6.719 13.880 90.00 90.00 120.00
Sites, in units of the cell vectors:
K  0.000  0.000  0.000
K  0.000  0.000  0.500
Tm  0.667  0.333  0.250
Tm  0.333  0.667  0.750
Mg  0.333  0.667  0.250
Mg  0.667  0.333  0.750
Cl  0.623  0.632  0.144
Cl  0.009  0.377  0.144
Cl  0.377  0.009  0.644
Cl  0.991  0.623  0.856
Cl  0.368  0.377  0.356
Cl  0.009  0.632  0.356
Cl  0.632  0.009  0.856
Cl  0.623  0.991  0.356
Cl  0.991  0.368  0.644
Cl  0.368  0.991  0.144
Cl  0.632  0.623  0.644
Cl  0.377  0.368  0.856



# 8
First-principles (GGA-PBE) data for a geometry-optimized KMg2VCl8 structure, as listed in the Alexandria database.

Values from the calculation:
Space-group type: P-1 (2)
Total DFT energy (no corrections): -0.1446 Ha/atom

Lattice parameters (Å, degrees): 6.239 6.239 8.628 78.68 78.73 77.11
Last column: magnetic moment on the atom in μB.
Sites, in units of the cell vectors:
K  0.000  0.000  0.500  0.00
Mg  0.446  0.446  0.724  0.00
Mg  0.554  0.554  0.276  0.00
V  0.000  0.000  0.000  1.87
Cl  0.190  0.751  0.207  -0.01
Cl  0.752  0.755  0.029  -0.03
Cl  0.753  0.191  0.206  -0.01
Cl  0.810  0.249  0.793  -0.01
Cl  0.248  0.245  0.971  -0.03
Cl  0.247  0.809  0.794  -0.01
Cl  0.668  0.671  0.490  0.00
Cl  0.332  0.329  0.510  0.00



# 9
First-principles (GGA-PBE) data for a geometry-optimized K2MgVCl structure, as listed in the Alexandria database.

Values from the calculation:
Space-group type: P4/mmm (123)
Total DFT energy (no corrections): -0.0951 Ha/atom

Lattice parameters (Å, degrees): 6.480 5.409 6.480 90.00 90.00 90.00
Last column: magnetic moment on the atom in μB.
Sites, in units of the cell vectors:
K  0.000  0.000  0.500  0.04
K  0.500  0.000  0.000  0.04
Cl  0.500  0.500  0.500  0.03
Mg  0.000  0.500  0.000  0.04
V  0.000  0.000  0.000  3.31



# 10
First-principles (GGA-PBE) data for a geometry-optimized KMgV2Cl8 structure, as listed in the Alexandria database.

Values from the calculation:
Space-group type: P2/m (10)
Total DFT energy (no corrections): -0.1606 Ha/atom

Lattice parameters (Å, degrees): 6.299 6.017 7.714 89.99 90.00 85.90
Last column: magnetic moment on the atom in μB.
Sites, in units of the cell vectors:
K  0.000  0.000  0.500  0.00
Mg  0.000  0.000  0.000  0.00
V  0.500  0.500  0.756  2.28
V  0.500  0.500  0.244  2.28
Cl  0.177  0.745  0.218  -0.01
Cl  0.647  0.719  0.000  -0.03
Cl  0.823  0.255  0.218  -0.01
Cl  0.823  0.255  0.782  -0.01
Cl  0.353  0.281  0.000  -0.03
Cl  0.177  0.745  0.782  -0.01
Cl  0.629  0.701  0.500  -0.04
Cl  0.371  0.299  0.500  -0.04



# 11
First-principles (GGA-PBE) data for a geometry-optimized KMgW2Cl structure, as listed in the Alexandria database.

Values from the calculation:
Space-group type: P4/mmm (123)
Total DFT energy (no corrections): -0.1471 Ha/atom

Lattice parameters (Å, degrees): 4.925 7.118 4.925 90.00 90.00 90.00
Last column: magnetic moment on the atom in μB.
Sites, in units of the cell vectors:
K  0.000  0.500  0.000  0.00
Mg  0.000  0.000  0.000  0.01
W  0.000  0.000  0.500  2.27
W  0.500  0.000  0.000  2.03
Cl  0.500  0.500  0.500  0.07



# 12
First-principles (GGA-PBE) data for a geometry-optimized KYMgCl6 structure, as listed in the Alexandria database.

Values from the calculation:
Space-group type: P-31c (163)
Total DFT energy (no corrections): -0.1598 Ha/atom

Lattice parameters (Å, degrees): 6.785 6.785 13.815 90.00 90.00 120.00
Sites, in units of the cell vectors:
K  0.000  0.000  0.000
K  0.000  0.000  0.500
Y  0.667  0.333  0.250
Y  0.333  0.667  0.750
Mg  0.333  0.667  0.250
Mg  0.667  0.333  0.750
Cl  0.621  0.635  0.143
Cl  0.014  0.379  0.143
Cl  0.379  0.014  0.643
Cl  0.986  0.621  0.857
Cl  0.365  0.379  0.357
Cl  0.014  0.635  0.357
Cl  0.635  0.014  0.857
Cl  0.621  0.986  0.357
Cl  0.986  0.365  0.643
Cl  0.365  0.986  0.143
Cl  0.635  0.621  0.643
Cl  0.379  0.365  0.857



Number 1: formation energy (no corrections) -1.39 eV/atom, total moment 0.08 μB per formula unit. Number 2: formation energy (no corrections) -1.36 eV/atom, total moment 0.00 μB per formula unit. Number 3: formation energy (no corrections) -1.38 eV/atom, total moment 0.00 μB per formula unit. Number 4: formation energy (no corrections) -1.11 eV/atom, total moment 0.81 μB per formula unit. Number 5: formation energy (no corrections) -1.75 eV/atom, total moment 0.00 μB per formula unit. Number 6: formation energy (no corrections) -1.69 eV/atom, total moment 0.00 μB per formula unit. Number 7: formation energy (no corrections) -2.10 eV/atom, total moment 0.00 μB per formula unit. Number 8: formation energy (no corrections) -1.59 eV/atom, total moment 2.00 μB per formula unit. Number 9: formation energy (no corrections) 0.36 eV/atom, total moment 5.20 μB per formula unit. Number 10: formation energy (no corrections) -1.40 eV/atom, total moment 5.00 μB per formula unit. Number 11: formation energy (no corrections) 2.09 eV/atom, total moment 6.06 μB per formula unit. Number 12: formation energy (no corrections) -2.10 eV/atom, total moment 0.00 μB per formula unit.